Record 1
{
  "formula": "BaLa2Zr",
  "functional": "GGA-PBE",
  "state": "optimized geometry",
  "relative_energy_mev_per_atom": 156,
  "formation_energy_ev_per_atom": 0.34,
  "dft_energy_ev_per_atom": -4.7396,
  "cell": [[6.010, -1.797, 0.000], [6.010, 1.797, 0.000], [-0.998, 0.000, 6.581]],
  "species": ["Ba", "La", "La", "Zr"],
  "fractional_positions": [[0.000, 0.000, 0.000], [0.235, 0.235, 0.708], [0.483, 0.483, 0.474], [0.752, 0.752, 0.276]]
}

Record 2
{
  "formula": "BaLa2Zr",
  "functional": "GGA-PBE",
  "state": "optimized geometry",
  "relative_energy_mev_per_atom": 192,
  "formation_energy_ev_per_atom": 0.38,
  "dft_energy_ev_per_atom": -4.7033,
  "cell": [[-2.655, 2.655, 4.954], [2.655, -2.655, 4.954], [2.655, 2.655, -4.954]],
  "species": ["Ba", "La", "La", "Zr"],
  "fractional_positions": [[0.000, 0.000, 0.000], [0.250, 0.750, 0.500], [0.750, 0.250, 0.500], [0.500, 0.500, 0.000]]
}

Record 3
{
  "formula": "BaLaZr3",
  "functional": "GGA-PBE",
  "state": "optimized geometry",
  "relative_energy_mev_per_atom": 0,
  "formation_energy_ev_per_atom": 1.02,
  "dft_energy_ev_per_atom": -5.4833,
  "cell": [[5.433, 0.000, 0.000], [0.000, 5.433, 0.000], [0.000, 0.000, 5.433]],
  "species": ["Ba", "La", "Zr", "Zr", "Zr"],
  "fractional_positions": [[0.000, 0.000, 0.000], [0.500, 0.500, 0.500], [0.000, 0.500, 0.500], [0.500, 0.000, 0.500], [0.500, 0.500, 0.000]]
}

Record 4
{
  "formula": "Ba2LaZr",
  "functional": "GGA-PBE",
  "state": "optimized geometry",
  "relative_energy_mev_per_atom": 104,
  "formation_energy_ev_per_atom": 0.43,
  "dft_energy_ev_per_atom": -3.8994,
  "cell": [[5.661, -1.845, 0.000], [5.661, 1.845, 0.000], [-0.822, 0.000, 7.700]],
  "species": ["Ba", "Ba", "La", "Zr"],
  "fractional_positions": [[0.000, 0.000, 0.000], [0.235, 0.235, 0.696], [0.476, 0.476, 0.410], [0.744, 0.744, 0.269]]
}

Record 5
{
  "formula": "Ba2LaZr",
  "functional": "GGA-PBE",
  "state": "optimized geometry",
  "relative_energy_mev_per_atom": 174,
  "formation_energy_ev_per_atom": 0.50,
  "dft_energy_ev_per_atom": -3.8287,
  "cell": [[-1.914, 3.013, 6.831], [1.914, -3.013, 6.831], [1.914, 3.013, -6.831]],
  "species": ["Ba", "Ba", "La", "Zr"],
  "fractional_positions": [[0.215, 0.215, 0.000], [0.785, 0.785, 0.000], [0.500, 0.000, 0.500], [0.000, 0.500, 0.500]]
}

Record 6
{
  "formula": "Ba2LaZr",
  "functional": "GGA-PBE",
  "state": "optimized geometry",
  "relative_energy_mev_per_atom": 215,
  "formation_energy_ev_per_atom": 0.54,
  "dft_energy_ev_per_atom": -3.7877,
  "cell": [[-2.630, 2.630, 5.665], [2.630, -2.630, 5.665], [2.630, 2.630, -5.665]],
  "species": ["Ba", "Ba", "La", "Zr"],
  "fractional_positions": [[0.250, 0.750, 0.500], [0.750, 0.250, 0.500], [0.000, 0.000, 0.000], [0.500, 0.500, 0.000]]
}

Record 7
{
  "formula": "BaLa2Zr",
  "functional": "GGA-PBE",
  "state": "optimized geometry",
  "relative_energy_mev_per_atom": 189,
  "formation_energy_ev_per_atom": 0.38,
  "dft_energy_ev_per_atom": -4.7063,
  "cell": [[3.685, -5.149, 0.000], [3.685, 5.149, 0.000], [0.000, 0.000, 3.643]],
  "species": ["Ba", "La", "La", "Zr"],
  "fractional_positions": [[0.000, 0.000, 0.000], [0.000, 0.500, 0.500], [0.500, 0.000, 0.500], [0.500, 0.500, 0.000]]
}

Record 8
{
  "formula": "BaLa2Zr",
  "functional": "GGA-PBE",
  "state": "optimized geometry",
  "relative_energy_mev_per_atom": 74,
  "formation_energy_ev_per_atom": 0.26,
  "dft_energy_ev_per_atom": -4.8208,
  "cell": [[1.836, 1.060, 12.289], [-1.836, 1.060, 12.289], [0.000, -2.120, 12.289]],
  "species": ["Ba", "La", "La", "Zr"],
  "fractional_positions": [[0.000, 0.000, 0.000], [0.238, 0.238, 0.238], [0.762, 0.762, 0.762], [0.500, 0.500, 0.500]]
}

Record 9
{
  "formula": "BaLa2Zr",
  "functional": "GGA-PBE",
  "state": "optimized geometry",
  "relative_energy_mev_per_atom": 0,
  "formation_energy_ev_per_atom": 0.19,
  "dft_energy_ev_per_atom": -4.8951,
  "cell": [[3.661, 0.000, 0.000], [0.000, 3.661, 0.000], [-0.014, 0.000, 10.954]],
  "species": ["Ba", "La", "La", "Zr"],
  "fractional_positions": [[0.000, 0.000, 0.000], [0.500, 0.500, 0.298], [0.500, 0.500, 0.702], [0.000, 0.000, 0.500]]
}

Record 10
{
  "formula": "Ba2LaZr",
  "functional": "GGA-PBE",
  "state": "optimized geometry",
  "relative_energy_mev_per_atom": 170,
  "formation_energy_ev_per_atom": 0.50,
  "dft_energy_ev_per_atom": -3.8326,
  "cell": [[1.869, 1.079, 12.704], [-1.869, 1.079, 12.704], [0.000, -2.158, 12.704]],
  "species": ["Ba", "Ba", "La", "Zr"],
  "fractional_positions": [[0.243, 0.243, 0.243], [0.757, 0.757, 0.757], [0.000, 0.000, 0.000], [0.500, 0.500, 0.500]]
}

Record 11
{
  "formula": "BaLa3Zr",
  "functional": "GGA-PBE",
  "state": "optimized geometry",
  "relative_energy_mev_per_atom": 804,
  "formation_energy_ev_per_atom": 1.14,
  "dft_energy_ev_per_atom": -3.9107,
  "cell": [[5.869, 0.000, 0.000], [0.000, 5.869, 0.000], [0.000, 0.000, 5.869]],
  "species": ["Ba", "La", "La", "La", "Zr"],
  "fractional_positions": [[0.000, 0.000, 0.000], [0.000, 0.000, 0.500], [0.000, 0.500, 0.000], [0.500, 0.000, 0.000], [0.500, 0.500, 0.500]]
}

Record 12
{
  "formula": "BaLa2Zr",
  "functional": "GGA-PBE",
  "state": "optimized geometry",
  "relative_energy_mev_per_atom": 205,
  "formation_energy_ev_per_atom": 0.39,
  "dft_energy_ev_per_atom": -4.6905,
  "cell": [[-2.599, 2.599, 5.181], [2.599, -2.599, 5.181], [2.599, 2.599, -5.181]],
  "species": ["Ba", "La", "La", "Zr"],
  "fractional_positions": [[0.000, 0.000, 0.000], [0.250, 0.750, 0.500], [0.500, 0.500, 0.000], [0.750, 0.250, 0.500]]
}